Here is a relaxed structure of Tc2AsCl from Alexandria via LeMat-Bulk. Energies are from GGA-PBEsol.

Values from the calculation:
- Raw formation energy: 51.5 kJ/mol of formula units
- Relative energy among the computed polymorphs: 0.000 eV per atom
- Total magnetization: 0.0 μB/f.u.
- Symmetry: Pmm2 (25)

Cell lengths 2.8751, 3.8302, 6.0637 Å; angles 90.00, 90.00, 90.00 degrees
With the nearest neighbours (Å) after each atom.
Fractional coordinates of all 4 atoms:
Tc 0.5000 0.5000 0.2180  1 Cl 2.29
Tc 0.0000 0.0000 0.0223  1 As 2.41, 4 Cl 2.64, 4 Tc 2.67
As 0.0000 0.0000 0.4197  5 Tc 2.41-2.69
Cl 0.5000 0.5000 0.8400  1 Tc 2.29

---

Here is a relaxed structure of Tc2AsCl from Alexandria via LeMat-Bulk. Energies are from GGA-PBEsol.

Values from the calculation:
- Raw formation energy: 174.7 kJ/mol of formula units
- Relative energy among the computed polymorphs: 0.319 eV per atom
- Total magnetization: 0.0 μB/f.u.
- Symmetry: Cmmm (65)

Cell lengths 2.9617, 2.9730, 7.9456 Å; angles 90.00, 90.00, 119.87 degrees
With the nearest neighbours (Å) after each atom.
Fractional coordinates of all 4 atoms:
Tc 0.0000 0.0000 0.2606  2 As 2.41, 2 Cl 2.55
As 0.5000 0.0000 0.5000  4 Tc 2.41
Cl 0.5000 0.0000 0.0000  4 Tc 2.55
Tc 0.0000 0.0000 0.7394  2 As 2.41, 2 Cl 2.55

---

Here is a relaxed structure of Tc2AsCl from Alexandria via LeMat-Bulk. Energies are from GGA-PBEsol.

Values from the calculation:
- Raw formation energy: 143.5 kJ/mol of formula units
- Relative energy among the computed polymorphs: 0.238 eV per atom
- Total magnetization: 0.0 μB/f.u.
- Symmetry: Fm-3m (225)

Cell lengths 4.2862, 4.2862, 4.2862 Å; angles 60.00, 60.00, 60.00 degrees
With the nearest neighbours (Å) after each atom.
Fractional coordinates of all 4 atoms:
Cl 0.0000 0.0000 0.0000  8 Tc 2.62
As 0.5000 0.5000 0.5000  8 Tc 2.62
Tc 0.2500 0.2500 0.2500  4 As 2.62, 4 Cl 2.62
Tc 0.7500 0.7500 0.7500  4 Cl 2.62, 4 As 2.62

---

Repeat the first record exactly.
Here is a relaxed structure of Tc2AsCl from Alexandria via LeMat-Bulk. Energies are from GGA-PBEsol.

Values from the calculation:
- Raw formation energy: 51.5 kJ/mol of formula units
- Relative energy among the computed polymorphs: 0.000 eV per atom
- Total magnetization: 0.0 μB/f.u.
- Symmetry: Pmm2 (25)

Cell lengths 2.8751, 3.8302, 6.0637 Å; angles 90.00, 90.00, 90.00 degrees
With the nearest neighbours (Å) after each atom.
Fractional coordinates of all 4 atoms:
Tc 0.5000 0.5000 0.2180  1 Cl 2.29
Tc 0.0000 0.0000 0.0223  1 As 2.41, 4 Cl 2.64, 4 Tc 2.67
As 0.0000 0.0000 0.4197  5 Tc 2.41-2.69
Cl 0.5000 0.5000 0.8400  1 Tc 2.29